[1]
Entry from Alexandria: crystalline Li9Ac3Hg2 at its relaxed geometry (PBE-GGA).

```
Li9Ac3Hg2
1.0
-2.484 5.159 6.828
2.484 -5.159 6.828
2.484 5.159 -6.828
Li Ac Hg
9 3 2
direct
0.000 0.000 0.000
0.103 0.883 0.220
0.174 0.325 0.850
0.336 0.117 0.220
0.475 0.325 0.150
0.525 0.675 0.850
0.664 0.883 0.780
0.826 0.675 0.150
0.897 0.117 0.780
0.188 0.688 0.500
0.500 0.000 0.500
0.812 0.312 0.500
0.217 0.500 0.717
0.783 0.500 0.283
```

- Magnetic moment: 0.00 μB per formula unit
- Space group: Immm (71)
- E_form: -0.0937 eV/atom

***

[2]
Entry from Alexandria: crystalline LiAcHg at its relaxed geometry (PBE-GGA).

```
LiAcHg
1.0
5.049 0.000 0.000
-2.525 4.373 0.000
0.000 0.000 7.628
Li Ac Hg
2 2 2
direct
0.333 0.667 0.250
0.667 0.333 0.750
0.000 0.000 0.000
0.000 0.000 0.500
0.333 0.667 0.750
0.667 0.333 0.250
```

- Magnetic moment: 0.00 μB per formula unit
- Space group: P6_3/mmc (194)
- E_form: -0.3330 eV/atom

***

[3]
Entry from Alexandria: crystalline LiAcHg5 at its relaxed geometry (PBE-GGA).

```
LiAcHg5
1.0
3.108 -4.469 0.000
3.108 4.469 0.000
0.000 0.000 7.146
Li Ac Hg
1 1 5
direct
0.000 0.000 0.000
0.500 0.500 0.500
0.000 0.500 0.227
0.000 0.500 0.773
0.500 0.000 0.227
0.500 0.000 0.773
0.500 0.500 0.000
```

- Magnetic moment: 0.00 μB per formula unit
- Space group: Cmmm (65)
- E_form: -0.2370 eV/atom

***

[4]
Entry from Alexandria: crystalline Li5Ac4Hg6 at its relaxed geometry (PBE-GGA).

```
Li5Ac4Hg6
1.0
2.267 -12.071 0.000
2.267 12.071 0.000
0.000 0.000 15.045
Li Ac Hg
10 8 12
direct
0.057 0.943 0.500
0.156 0.844 0.820
0.165 0.835 0.402
0.250 0.750 0.939
0.334 0.666 0.467
0.666 0.334 0.967
0.750 0.250 0.439
0.835 0.165 0.902
0.844 0.156 0.320
0.943 0.057 0.000
0.316 0.684 0.720
0.351 0.649 0.131
0.465 0.535 0.363
0.468 0.532 0.621
0.532 0.468 0.121
0.535 0.465 0.863
0.649 0.351 0.631
0.684 0.316 0.220
0.058 0.942 0.701
0.075 0.925 0.275
0.106 0.894 0.001
0.233 0.767 0.545
0.270 0.730 0.316
0.399 0.601 0.919
0.601 0.399 0.419
0.730 0.270 0.816
0.767 0.233 0.045
0.894 0.106 0.501
0.925 0.075 0.775
0.942 0.058 0.201
```

- Magnetic moment: 0.00 μB per formula unit
- Space group: Cmc2_1 (36)
- E_form: -0.3316 eV/atom

***

[5]
Entry from Alexandria: crystalline Li3Ac3Hg2 at its relaxed geometry (PBE-GGA).

```
Li3Ac3Hg2
1.0
8.946 0.000 0.000
0.000 16.986 0.000
0.000 0.000 6.197
Li Ac Hg
12 12 8
direct
0.172 0.034 0.097
0.172 0.466 0.097
0.178 0.750 0.098
0.322 0.250 0.598
0.328 0.534 0.597
0.328 0.966 0.597
0.672 0.034 0.403
0.672 0.466 0.403
0.678 0.750 0.402
0.822 0.250 0.902
0.828 0.534 0.903
0.828 0.966 0.903
0.032 0.109 0.616
0.032 0.391 0.616
0.170 0.250 0.107
0.330 0.750 0.607
0.468 0.609 0.116
0.468 0.891 0.116
0.532 0.109 0.884
0.532 0.391 0.884
0.670 0.250 0.393
0.830 0.750 0.893
0.968 0.609 0.384
0.968 0.891 0.384
0.119 0.605 0.875
0.119 0.895 0.875
0.381 0.105 0.375
0.381 0.395 0.375
0.619 0.605 0.625
0.619 0.895 0.625
0.881 0.105 0.125
0.881 0.395 0.125
```

- Magnetic moment: 0.00 μB per formula unit
- Space group: Pnma (62)
- E_form: -0.2160 eV/atom

***

[6]
Entry from Alexandria: crystalline LiAcHg at its relaxed geometry (PBE-GGA).

```
LiAcHg
1.0
5.059 0.000 0.000
0.000 15.503 0.000
0.000 0.000 8.523
Li Ac Hg
8 8 8
direct
0.250 0.089 0.081
0.250 0.411 0.081
0.250 0.649 0.414
0.250 0.851 0.414
0.750 0.149 0.586
0.750 0.351 0.586
0.750 0.589 0.919
0.750 0.911 0.919
0.250 0.000 0.710
0.250 0.250 0.793
0.250 0.500 0.710
0.250 0.750 0.785
0.750 0.000 0.290
0.750 0.250 0.215
0.750 0.500 0.290
0.750 0.750 0.207
0.250 0.144 0.417
0.250 0.356 0.417
0.250 0.606 0.084
0.250 0.894 0.084
0.750 0.106 0.916
0.750 0.394 0.916
0.750 0.644 0.583
0.750 0.856 0.583
```

- Magnetic moment: 0.00 μB per formula unit
- Space group: Pmmn (59)
- E_form: -0.3343 eV/atom